A plane-wave DFT calculation with PBE was carried out for crystalline ZrCd3I at its relaxed geometry.

Geometry as CIF:
```
data_ZrCd3I
_space_group_name_H-M_alt 'P m -3 m'
_space_group_IT_number 221
_space_group_name_Hall '-P 4 2 3'
_cell_length_a 5.6718
_cell_length_b 5.6718
_cell_length_c 5.6718
_cell_angle_alpha 90.00
_cell_angle_beta 90.00
_cell_angle_gamma 90.00
loop_
_atom_site_label
_atom_site_type_symbol
_atom_site_fract_x
_atom_site_fract_y
_atom_site_fract_z
Zr1 Zr 0.0000 0.0000 0.0000
Cd1 Cd 0.0000 0.5000 0.5000
I1 I 0.5000 0.5000 0.5000
```

Energy above the lowest structure with this stoichiometry ... 0.542 eV/atom
V ... 36.5 Å³ per atom
Energy relative to the elements, uncorrected ... 1173 meV/atom

A plane-wave DFT calculation with PBE was carried out for crystalline Cd8In3 at its relaxed geometry.

Geometry as CIF:
```
data_Cd8In3
_space_group_name_H-M_alt 'C 1 2/m 1'
_space_group_IT_number 12
_space_group_name_Hall '-C 2y'
_cell_length_a 9.1646
_cell_length_b 4.7501
_cell_length_c 12.9984
_cell_angle_alpha 90.00
_cell_angle_beta 108.09
_cell_angle_gamma 90.00
loop_
_atom_site_label
_atom_site_type_symbol
_atom_site_fract_x
_atom_site_fract_y
_atom_site_fract_z
Cd1 Cd 0.0946 0.0000 0.1295
Cd2 Cd 0.1331 0.5000 0.9552
Cd3 Cd 0.1809 0.0000 0.7893
Cd4 Cd 0.2244 0.5000 0.5987
In1 In 0.0000 0.0000 0.5000
In2 In 0.0526 0.5000 0.3132
```

Energy above the lowest structure with this stoichiometry ... 0.000 eV/atom
Energy of formation ... 42 meV/atom
V ... 24.4 Å³ per atom